No. 1
VASP calculation (PBE-GGA) on a relaxed structure of UW4C4.

DOS(E_F): 0.7339 states/eV/atom
ρ: 15.33 g/cm³
Energy of formation from the pure elements: -0.130 eV per atom

Cell lengths 8.4027, 8.4027, 3.1343 Å; angles 90.00, 90.00, 90.00 degrees
Space group P4/m (No. 83)
Symmetry-distinct sites (fractional):
U: 0.0000 0.0000 0.0000
U: 0.5000 0.5000 0.5000
W: 0.1139 0.6524 0.5000
W: 0.1809 0.3539 0.0000
C: 0.1051 0.2050 0.5000
C: 0.2742 0.5843 0.0000



No. 2
VASP calculation (PBE-GGA) on a relaxed structure of NaSnPdSe2.

DOS(E_F): 0.3223 states/eV/atom
ρ: 5.38 g/cm³
Raw formation energy: -0.101 eV per atom

Cell lengths 5.0848, 5.0848, 4.8473 Å; angles 90.00, 90.00, 90.00 degrees
Space group P4/mmm (No. 123)
Symmetry-distinct sites (fractional):
Na: 0.0000 0.0000 0.0000
Sn: 0.5000 0.5000 0.0000
Pd: 0.0000 0.0000 0.5000
Se: 0.0000 0.5000 0.5000



Computed electronic total energy (eV/atom) in order:
-11.241, -3.598